Density functional theory data (GGA-PBE) for a geometry-optimized Pa2RuS structure.

Unit cell a=3.2978 b=3.2978 c=27.1059 alpha=90.00 beta=90.00 gamma=120.00
With the nearest neighbours (Å) after each atom.
Positions (direct):
1 Pa 0.0000 0.0000 0.0916  1 Ru 2.48
2 Pa 0.0000 0.0000 0.9084  1 Ru 2.48
3 Pa 0.3333 0.6667 0.5751  1 Ru 2.48
4 Pa 0.3333 0.6667 0.7583  1 Ru 2.48
5 Pa 0.6667 0.3333 0.2417  1 Ru 2.48
6 Pa 0.6667 0.3333 0.4249  1 Ru 2.48
7 Ru 0.0000 0.0000 0.0000  2 Pa 2.48
8 Ru 0.3333 0.6667 0.6667  2 Pa 2.48
9 Ru 0.6667 0.3333 0.3333  2 Pa 2.48
10 S 0.0000 0.0000 0.5000  6 Pa 2.79
11 S 0.3333 0.6667 0.1667  6 Pa 2.79
12 S 0.6667 0.3333 0.8333  6 Pa 2.79

Results
The space group is No. 166. As for the calculated volume: 255.3 Å³/cell. As for the crystal system: trigonal.


Density functional theory data (GGA-PBE) for a geometry-optimized V2SbW structure.

Unit cell a=3.3379 b=3.3379 c=5.7355 alpha=90.00 beta=90.00 gamma=90.00
With the nearest neighbours (Å) after each atom.
Positions (direct):
1 V 0.0000 0.0000 0.2363  2 V 2.71-3.03, 4 W 2.72, 4 Sb 2.80
2 V 0.0000 0.0000 0.7637  2 V 2.71-3.03, 4 W 2.72, 4 Sb 2.80
3 Sb 0.5000 0.5000 0.5000  8 V 2.80, 2 W 2.87
4 W 0.5000 0.5000 0.0000  8 V 2.72, 2 Sb 2.87

Results
The space group is No. 123. As for the calculated volume: 63.9 Å³/cell. As for the crystal system: tetragonal.


| no. | density (Mg/m³) | uncorrected energy (Ha/atom) | uncorrected formation energy (meV/atom) |
| --- | --- | --- | --- |
| 1 | 11.6 | -0.3124 | -400.9 |
| 2 | 10.6 | -0.3216 | 75.9 |